A relaxed structure of PrY2Au6, computed with PBE.

```
PrY2Au6
1.0
3.5553 0.0002 0.9793
0.7073 7.2622 4.3736
-0.4167 0.8328 8.4558
Au Y Pr
6 2 1
direct
0.3225 0.3658 0.9893
0.5000 0.3187 0.6814
0.6775 0.6342 0.0107
0.6775 0.0107 0.6342
0.5000 0.6814 0.3187
0.3225 0.9893 0.3658
0.1412 0.3588 0.3588
0.8588 0.6412 0.6412
0.0000 0.0000 0.0000
```

Summary:
Crystal system: orthorhombic
Fermi-level density of states: 4.70 states/eV/cell
Theoretical density: 11.9 g/cm3
Formation energy: -737 meV/atom

=====

A relaxed structure of Pr2YAu3, computed with PBE.

```
Pr2YAu3
1.0
-0.7700 2.8927 -2.1300
-4.6367 -2.0929 -1.1661
-6.4736 7.4217 12.4196
Pr Au Y
4 6 2
direct
0.0034 0.5000 0.1676
0.9966 0.0000 0.6676
0.9966 0.0000 0.3324
0.0034 0.5000 0.8324
0.5039 0.0000 0.8441
0.4985 0.0000 0.5000
0.4961 0.5000 0.6559
0.4961 0.5000 0.3441
0.5039 0.0000 0.1559
0.5015 0.5000 0.0000
0.9971 0.5000 0.5000
0.0029 0.0000 0.0000
```

Summary:
Crystal system: orthorhombic
Fermi-level density of states: 8.83 states/eV/cell
Theoretical density: 10.5 g/cm3
Formation energy: -777 meV/atom

=====

A relaxed structure of PrYAu4, computed with PBE.

```
PrYAu4
1.0
3.8183 0.0000 0.0001
0.0000 3.8183 0.0001
-0.0004 -0.0004 9.2343
Au Pr Y
4 1 1
direct
0.0000 0.0000 0.3399
0.5000 0.5000 0.8269
0.0000 0.0000 0.6601
0.5000 0.5000 0.1731
0.0000 0.0000 0.0000
0.5000 0.5000 0.5000
```

Summary:
Crystal system: tetragonal
Fermi-level density of states: 1.79 states/eV/cell
Theoretical density: 12.6 g/cm3
Formation energy: -797 meV/atom
ΔE to the lowest computed polymorph: 0.0021 eV/atom

=====

A relaxed structure of PrY3Au2, computed with PBE.

```
PrY3Au2
1.0
5.0189 0.0000 0.0000
0.0000 7.2290 0.0000
0.0000 0.0000 9.0677
Pr Y Au
2 6 4
direct
0.5000 0.0119 0.4240
0.5000 0.5119 0.5760
0.0000 0.8508 0.6699
0.5000 0.1482 0.8330
0.0000 0.4873 0.9293
0.0000 0.3508 0.3301
0.5000 0.6482 0.1670
0.0000 0.9873 0.0707
0.5000 0.2477 0.1460
0.0000 0.2541 0.6579
0.0000 0.7541 0.3421
0.5000 0.7477 0.8540
```

Summary:
Crystal system: orthorhombic
Fermi-level density of states: 13.52 states/eV/cell
Theoretical density: 8.1 g/cm3
Formation energy: -614 meV/atom

=====

A relaxed structure of PrY2Au, computed with PBE.

```
PrY2Au
1.0
-2.8279 1.5384 -2.0376
-3.6175 -0.9183 0.7654
-2.6945 7.7125 6.0005
Y Pr Au
2 1 1
direct
0.0665 0.0665 0.8004
0.2664 0.2664 0.2009
0.5013 0.5013 0.4960
0.6658 0.6658 0.0026
```

Summary:
Crystal system: trigonal
Fermi-level density of states: 4.89 states/eV/cell
Theoretical density: 6.9 g/cm3
Formation energy: -301 meV/atom
ΔE to the lowest computed polymorph: 0.1310 eV/atom

=====

A relaxed structure of YbPrAu2, computed with PBE.

```
YbPrAu2
1.0
-1.2181 3.4729 -3.6834
-4.3397 -0.6028 -2.8135
-4.0238 3.2306 0.6962
Au Yb Pr
2 1 1
direct
0.2500 0.2500 0.2500
0.7500 0.7500 0.7500
0.0000 0.0000 0.0000
0.5000 0.5000 0.5000
```

Summary:
Crystal system: cubic
Fermi-level density of states: 15.82 states/eV/cell
Theoretical density: 11.8 g/cm3
Formation energy: -847 meV/atom